[1]
# YEr7Tm4 | the Alexandria database | PBE-GGA | optimized geometry
data_YEr7Tm4
_chemical_formula_sum 'Y2 Er14 Tm8'
_cell_length_a 11.945
_cell_length_b 5.776
_cell_length_c 12.527
_cell_angle_alpha 90.00
_cell_angle_beta 118.22
_cell_angle_gamma 90.00
_symmetry_space_group_name_H-M 'C 1 2/m 1'
_symmetry_Int_Tables_number 12
loop_
_symmetry_equiv_pos_as_xyz
'x,y,z'
'-x,-y,-z'
'-x,y,-z'
'x,-y,z'
'x+1/2,y+1/2,z'
'-x+1/2,-y+1/2,-z'
'-x+1/2,y+1/2,-z'
'x+1/2,-y+1/2,z'
loop_
_atom_site_label
_atom_site_type_symbol
_atom_site_fract_x
_atom_site_fract_y
_atom_site_fract_z
_atom_site_occupancy
Y1 Y 0.000 0.000 0.000 1
Er1 Er 0.000 0.500 0.000 1
Er2 Er 0.058 0.000 0.326 1
Er3 Er 0.136 0.500 0.503 1
Er4 Er 0.213 0.000 0.924 1
Tm1 Tm 0.133 0.500 0.774 1
Tm2 Tm 0.248 0.500 0.314 1
# Crystal system: monoclinic
# Raw total energy (eV for the cell shown): -105.268
# ΔE_f (eV per atom): 0.30
# DOS at the Fermi energy (states/eV/atom): 1.690
# Energy above the most stable polymorph in this dataset (meV/atom): 213
# Calculated volume (Å³/atom): 31.733

***

[2]
# B2Sb2S7 | the Alexandria database | PBE-GGA | optimized geometry
data_B2Sb2S7
_chemical_formula_sum 'B4 Sb4 S14'
_cell_length_a 8.280
_cell_length_b 10.510
_cell_length_c 5.451
_cell_angle_alpha 90.00
_cell_angle_beta 99.34
_cell_angle_gamma 90.00
_symmetry_space_group_name_H-M 'C 1 2/m 1'
_symmetry_Int_Tables_number 12
loop_
_symmetry_equiv_pos_as_xyz
'x,y,z'
'-x,-y,-z'
'-x,y,-z'
'x,-y,z'
'x+1/2,y+1/2,z'
'-x+1/2,-y+1/2,-z'
'-x+1/2,y+1/2,-z'
'x+1/2,-y+1/2,z'
loop_
_atom_site_label
_atom_site_type_symbol
_atom_site_fract_x
_atom_site_fract_y
_atom_site_fract_z
_atom_site_occupancy
B1 B 0.220 0.000 0.413 1
Sb1 Sb 0.000 0.309 0.000 1
S1 S 0.000 0.000 0.500 1
S2 S 0.120 0.500 0.286 1
S3 S 0.246 0.158 0.250 1
# E_form (uncorrected) (eV/atom): 0.033
# Crystal system: monoclinic
# Raw total energy (eV for the cell shown): -100.268
# DOS at the Fermi energy (states/eV/atom): 0.629
# Calculated volume (Å³/atom): 21.278

***

[3]
# CeDyTl | the Alexandria database | PBE-GGA | optimized geometry
data_CeDyTl
_chemical_formula_sum 'Ce4 Dy4 Tl4'
_cell_length_a 5.479
_cell_length_b 5.351
_cell_length_c 11.503
_cell_angle_alpha 90.00
_cell_angle_beta 92.19
_cell_angle_gamma 90.00
_symmetry_space_group_name_H-M 'C 1 2/m 1'
_symmetry_Int_Tables_number 12
loop_
_symmetry_equiv_pos_as_xyz
'x,y,z'
'-x,-y,-z'
'-x,y,-z'
'x,-y,z'
'x+1/2,y+1/2,z'
'-x+1/2,-y+1/2,-z'
'-x+1/2,y+1/2,-z'
'x+1/2,-y+1/2,z'
loop_
_atom_site_label
_atom_site_type_symbol
_atom_site_fract_x
_atom_site_fract_y
_atom_site_fract_z
_atom_site_occupancy
Ce1 Ce 0.208 0.000 0.062 1
Dy1 Dy 0.243 0.000 0.402 1
Tl1 Tl 0.223 0.500 0.238 1
# Crystal system: monoclinic
# Raw total energy (eV for the cell shown): -53.798
# ΔE_f (eV per atom): -0.18
# DOS at the Fermi energy (states/eV/atom): 1.820
# Energy above the most stable polymorph in this dataset (meV/atom): 2
# Calculated volume (Å³/atom): 28.084

***

[4]
# YMo2W | the Alexandria database | PBE-GGA | optimized geometry
data_YMo2W
_chemical_formula_sum 'Y2 Mo4 W2'
_cell_length_a 3.277
_cell_length_b 4.708
_cell_length_c 9.422
_cell_angle_alpha 90.00
_cell_angle_beta 90.00
_cell_angle_gamma 90.00
_symmetry_space_group_name_H-M 'C m m m'
_symmetry_Int_Tables_number 65
_symmetry_space_group_name_Hall '-C 2 2'
loop_
_atom_site_label
_atom_site_type_symbol
_atom_site_fract_x
_atom_site_fract_y
_atom_site_fract_z
_atom_site_occupancy
Y1 Y 0.000 0.000 0.000 1
Mo1 Mo 0.000 0.500 0.276 1
W1 W 0.000 0.000 0.500 1
# Crystal system: orthorhombic
# Raw total energy (eV for the cell shown): -79.500
# ΔE_f (eV per atom): 0.33
# DOS at the Fermi energy (states/eV/atom): 0.775
# Energy above the most stable polymorph in this dataset (meV/atom): 64
# Calculated volume (Å³/atom): 18.172

***

[5]
# Ba2SiPd2 | the Alexandria database | PBE-GGA | optimized geometry
data_Ba2SiPd2
_chemical_formula_sum 'Ba4 Si2 Pd4'
_cell_length_a 6.292
_cell_length_b 6.292
_cell_length_c 7.563
_cell_angle_alpha 90.00
_cell_angle_beta 90.00
_cell_angle_gamma 90.00
_symmetry_space_group_name_H-M 'I 4/m m m'
_symmetry_Int_Tables_number 139
_symmetry_space_group_name_Hall '-I 4 2'
loop_
_atom_site_label
_atom_site_type_symbol
_atom_site_fract_x
_atom_site_fract_y
_atom_site_fract_z
_atom_site_occupancy
Ba1 Ba 0.000 0.500 0.250 1
Si1 Si 0.000 0.000 0.000 1
Pd1 Pd 0.000 0.000 0.315 1
# E_form (uncorrected) (eV/atom): -0.345
# Crystal system: tetragonal
# Raw total energy (eV for the cell shown): -42.754
# DOS at the Fermi energy (states/eV/atom): 0.913
# Calculated volume (Å³/atom): 29.939

***

[6]
# CdIn4Sn3 | the Alexandria database | PBE-GGA | optimized geometry
data_CdIn4Sn3
_chemical_formula_sum 'Cd2 In8 Sn6'
_cell_length_a 26.466
_cell_length_b 4.797
_cell_length_c 3.534
_cell_angle_alpha 90.00
_cell_angle_beta 97.54
_cell_angle_gamma 90.00
_symmetry_space_group_name_H-M 'C 1 2/m 1'
_symmetry_Int_Tables_number 12
loop_
_symmetry_equiv_pos_as_xyz
'x,y,z'
'-x,-y,-z'
'-x,y,-z'
'x,-y,z'
'x+1/2,y+1/2,z'
'-x+1/2,-y+1/2,-z'
'-x+1/2,y+1/2,-z'
'x+1/2,-y+1/2,z'
loop_
_atom_site_label
_atom_site_type_symbol
_atom_site_fract_x
_atom_site_fract_y
_atom_site_fract_z
_atom_site_occupancy
Cd1 Cd 0.000 0.000 0.000 1
In1 In 0.099 0.000 0.608 1
In2 In 0.221 0.000 0.724 1
Sn1 Sn 0.000 0.500 0.500 1
Sn2 Sn 0.156 0.500 0.167 1
# Crystal system: monoclinic
# Raw total energy (eV for the cell shown): -46.302
# ΔE_f (eV per atom): 0.09
# DOS at the Fermi energy (states/eV/atom): 0.397
# Calculated volume (Å³/atom): 27.795

***

[7]
# ThMgCu3 | the Alexandria database | PBE-GGA | optimized geometry
data_ThMgCu3
_chemical_formula_sum 'Th4 Mg4 Cu12'
_cell_length_a 3.449
_cell_length_b 25.086
_cell_length_c 4.309
_cell_angle_alpha 90.00
_cell_angle_beta 90.00
_cell_angle_gamma 90.00
_symmetry_space_group_name_H-M 'C m c m'
_symmetry_Int_Tables_number 63
_symmetry_space_group_name_Hall '-C 2c 2'
loop_
_atom_site_label
_atom_site_type_symbol
_atom_site_fract_x
_atom_site_fract_y
_atom_site_fract_z
_atom_site_occupancy
Th1 Th 0.000 0.077 0.250 1
Mg1 Mg 0.000 0.211 0.750 1
Cu1 Cu 0.000 0.320 0.750 1
Cu2 Cu 0.000 0.373 0.250 1
Cu3 Cu 0.000 0.474 0.250 1
# Crystal system: orthorhombic
# Raw total energy (eV for the cell shown): -87.573
# ΔE_f (eV per atom): -0.12
# DOS at the Fermi energy (states/eV/atom): 0.649
# Calculated volume (Å³/atom): 18.645

***

[8]
# SnSbO4 | the Alexandria database | PBE-GGA | optimized geometry
data_SnSbO4
_chemical_formula_sum 'Sn2 Sb2 O8'
_cell_length_a 6.912
_cell_length_b 6.932
_cell_length_c 3.332
_cell_angle_alpha 90.00
_cell_angle_beta 90.00
_cell_angle_gamma 90.00
_symmetry_space_group_name_H-M 'C m m m'
_symmetry_Int_Tables_number 65
_symmetry_space_group_name_Hall '-C 2 2'
loop_
_atom_site_label
_atom_site_type_symbol
_atom_site_fract_x
_atom_site_fract_y
_atom_site_fract_z
_atom_site_occupancy
Sn1 Sn 0.000 0.000 0.000 1
Sb1 Sb 0.000 0.500 0.500 1
O1 O 0.000 0.191 0.500 1
O2 O 0.192 0.500 0.000 1
# E_form (uncorrected) (eV/atom): -1.415
# Crystal system: orthorhombic
# Raw total energy (eV for the cell shown): -72.900
# DOS at the Fermi energy (states/eV/atom): 0.227
# Calculated volume (Å³/atom): 13.303